Record 1
DFT (PBE) results for crystalline NdEuTmAl at its relaxed geometry.

```
data_NdEuTmAl
_chemical_formula_sum 'Nd4 Eu4 Tm4 Al4'
_space_group_name_H-M_alt 'F -4 3 m'
_space_group_IT_number 216
_space_group_name_Hall 'F -4 2 3'
_cell_length_a 7.701
_cell_length_b 7.701
_cell_length_c 7.701
_cell_angle_alpha 90.00
_cell_angle_beta 90.00
_cell_angle_gamma 90.00
loop_
_atom_site_label
_atom_site_type_symbol
_atom_site_fract_x
_atom_site_fract_y
_atom_site_fract_z
_atom_site_occupancy
Nd1 Nd 0.000 0.000 0.000 1
Eu1 Eu 0.250 0.250 0.250 1
Tm1 Tm 0.000 0.000 0.500 1
Al1 Al 0.250 0.250 0.750 1
```

For the theoretical density, the calculation gives 7158 kg/m3. The formation energy is -0.024 eV per atom.

Record 2
DFT (PBE) results for crystalline CaIn3 at its relaxed geometry.

```
data_CaIn3
_chemical_formula_sum 'Ca2 In6'
_space_group_name_H-M_alt 'C 1 2/m 1'
_space_group_IT_number 12
_space_group_name_Hall '-C 2y'
_cell_length_a 10.689
_cell_length_b 3.652
_cell_length_c 5.777
_cell_angle_alpha 90.00
_cell_angle_beta 101.79
_cell_angle_gamma 90.00
loop_
_atom_site_label
_atom_site_type_symbol
_atom_site_fract_x
_atom_site_fract_y
_atom_site_fract_z
_atom_site_occupancy
Ca1 Ca 0.000 0.000 0.000 1
In1 In 0.000 0.500 0.500 1
In2 In 0.245 0.000 0.738 1
```

For the theoretical density, the calculation gives 5784 kg/m3. The formation energy is -0.237 eV per atom.

Record 3
DFT (PBE) results for crystalline RePAuS2 at its relaxed geometry.

```
data_RePAuS2
_chemical_formula_sum 'Re1 P1 Au1 S2'
_space_group_name_H-M_alt 'P 4/m m m'
_space_group_IT_number 123
_space_group_name_Hall '-P 4 2'
_cell_length_a 4.818
_cell_length_b 4.818
_cell_length_c 4.729
_cell_angle_alpha 90.00
_cell_angle_beta 90.00
_cell_angle_gamma 90.00
loop_
_atom_site_label
_atom_site_type_symbol
_atom_site_fract_x
_atom_site_fract_y
_atom_site_fract_z
_atom_site_occupancy
Re1 Re 0.000 0.000 0.000 1
P1 P 0.500 0.500 0.000 1
Au1 Au 0.500 0.500 0.500 1
S1 S 0.000 0.500 0.500 1
```

For the theoretical density, the calculation gives 7233 kg/m3. Its energy relative to the elements, uncorrected is 827 kJ/mol of formula units. For the excess energy over the best structure of this formula in the dataset, the calculation gives 5.49 eV/f.u.

Record 4
DFT (PBE) results for crystalline CaNbS3 at its relaxed geometry.

```
data_CaNbS3
_chemical_formula_sum 'Ca1 Nb1 S3'
_space_group_name_H-M_alt 'P m -3 m'
_space_group_IT_number 221
_space_group_name_Hall '-P 4 2 3'
_cell_length_a 4.823
_cell_length_b 4.823
_cell_length_c 4.823
_cell_angle_alpha 90.00
_cell_angle_beta 90.00
_cell_angle_gamma 90.00
loop_
_atom_site_label
_atom_site_type_symbol
_atom_site_fract_x
_atom_site_fract_y
_atom_site_fract_z
_atom_site_occupancy
Ca1 Ca 0.000 0.000 0.000 1
Nb1 Nb 0.500 0.500 0.500 1
S1 S 0.000 0.500 0.500 1
```

For the theoretical density, the calculation gives 3392 kg/m3. Its energy relative to the elements, uncorrected is -542 kJ/mol of formula units.